Below is a relaxed structure of FeTeMoH, with properties calculated at the GGA-PBE level.

The space group is Pm (No. 6) and the conventional cell measures 3.242, 3.225 and 5.716 Å, with angles of 90.00, 92.25 and 90.00 degrees. The asymmetric unit holds Fe at (0.000, 0.000, 0.000), Te at (0.061, 0.000, 0.532), Mo at (0.540, 0.500, 0.249) and H at (0.739, 0.500, 0.949).

As for the total energy: -6.19 eV per atom. The calculation puts the total moment at 2.83 μB/f.u.


Below is a relaxed structure of Y2BiC, with properties calculated at the GGA-PBE level.

The space group is R-3m (No. 166, hexagonal axes) and the conventional cell measures 3.6914, 3.6914 and 23.4549 Å, with angles of 90.00, 90.00 and 120.00 degrees. The asymmetric unit holds Y at (0.0000, 0.0000, 0.2229), Bi at (0.0000, 0.0000, 0.0000) and C at (0.0000, 0.0000, 0.5000).

The calculation puts the total moment at 0.00 μB/f.u. The energy relative to the elements is -587 meV/atom.


Below is a relaxed structure of Rb2AlBO4, with properties calculated at the GGA-PBE level.

The space group is Fddd (No. 70, origin choice 2) and the conventional cell measures 4.479, 11.550 and 21.190 Å, with angles of 90.00, 90.00 and 90.00 degrees. The asymmetric unit holds Rb at (0.125, 0.125, 0.298), Al at (0.125, 0.125, 0.125), B at (0.125, 0.125, 0.625) and O at (0.085, 0.301, 0.836).

The raw formation energy is -17.992 eV per formula unit. The calculation puts the total moment at 0.00 μB/f.u.